(1)
Material: La12CeHo7
Method: DFT, GGA-PBE
State: optimized geometry

```
data_La12CeHo7
_space_group_name_H-M_alt 'R -3 m'
_space_group_IT_number 166
_space_group_name_Hall '-R 3 2"'
_cell_length_a 19.4983
_cell_length_b 19.4983
_cell_length_c 6.3801
_cell_angle_alpha 90.00
_cell_angle_beta 90.00
_cell_angle_gamma 120.00
loop_
_atom_site_label
_atom_site_fract_x
_atom_site_fract_y
_atom_site_fract_z
_atom_site_occupancy
La1 0.0000 0.4064 0.0000 1
La2 0.0965 0.5482 0.4857 1
Ce1 0.0000 0.0000 0.5000 1
Ho1 0.0000 0.0000 0.0000 1
Ho2 0.0814 0.1628 0.3095 1
```

Computed properties:
- DFT formation energy: 0.202 eV per atom
- Magnetic moment: 0.001 μB per atom

(2)
Material: Li2Co2Si
Method: DFT, GGA-PBE
State: optimized geometry

```
data_Li2Co2Si
_space_group_name_H-M_alt 'P 4/m b m'
_space_group_IT_number 127
_space_group_name_Hall '-P 4 2ab'
_cell_length_a 6.024
_cell_length_b 6.024
_cell_length_c 2.823
_cell_angle_alpha 90.00
_cell_angle_beta 90.00
_cell_angle_gamma 90.00
loop_
_atom_site_label
_atom_site_fract_x
_atom_site_fract_y
_atom_site_fract_z
_atom_site_occupancy
Li1 0.112 0.388 0.000 1
Co1 0.195 0.695 0.500 1
Si1 0.000 0.000 0.000 1
```

Computed properties:
- Magnetic moment: 0.000 μB per atom
- ΔE_f (raw): 0.18 eV/atom

(3)
Material: Dy5Sc4Ir4
Method: DFT, GGA-PBE
State: optimized geometry

```
data_Dy5Sc4Ir4
_space_group_name_H-M_alt 'I 4/m'
_space_group_IT_number 87
_space_group_name_Hall '-I 4'
_cell_length_a 11.655
_cell_length_b 11.655
_cell_length_c 4.331
_cell_angle_alpha 90.00
_cell_angle_beta 90.00
_cell_angle_gamma 90.00
loop_
_atom_site_label
_atom_site_fract_x
_atom_site_fract_y
_atom_site_fract_z
_atom_site_occupancy
Dy1 0.000 0.000 0.000 1
Dy2 0.128 0.808 0.500 1
Sc1 0.095 0.393 0.500 1
Ir1 0.075 0.255 0.000 1
```

Computed properties:
- DFT formation energy: -0.677 eV per atom
- Magnetic moment: 0.000 μB per atom

(4)
Material: SrTeRuI2
Method: DFT, GGA-PBE
State: optimized geometry

```
data_SrTeRuI2
_space_group_name_H-M_alt 'P 4/m m m'
_space_group_IT_number 123
_space_group_name_Hall '-P 4 2'
_cell_length_a 6.184
_cell_length_b 6.184
_cell_length_c 6.389
_cell_angle_alpha 90.00
_cell_angle_beta 90.00
_cell_angle_gamma 90.00
loop_
_atom_site_label
_atom_site_fract_x
_atom_site_fract_y
_atom_site_fract_z
_atom_site_occupancy
Sr1 0.000 0.000 0.000 1
Te1 0.000 0.000 0.500 1
Ru1 0.500 0.500 0.500 1
I1 0.000 0.500 0.000 1
```

Computed properties:
- Magnetic moment: 0.686 μB per atom
- ΔE_f (raw): 0.59 eV/atom